This record from the Open Quantum Materials Database describes a geometry-optimized CoPbSO structure. The functional is PBE+U.

Lattice parameters (Å, degrees): 3.216 3.216 14.493 90.00 90.00 119.99
Atoms (fractional coordinates):
1 Co 0.166 0.834 0.500
2 Co 0.834 0.166 0.000
3 Pb 0.497 0.503 0.779
4 Pb 0.503 0.497 0.279
5 S 0.167 0.833 0.081
6 S 0.833 0.167 0.581
7 O 0.499 0.501 0.434
8 O 0.501 0.499 0.934

- SG: No. 36
- Relative energy among the computed polymorphs: 330 meV per atom